--- one ---
SrCaBe2, relaxed, DFT GGA-PBE; DOS(E_F) = 3.30 states/eV/f.u.
1.0
5.200 -2.022 0.000
5.200 2.022 0.000
-4.717 0.000 5.635
Sr Ca Be
1 1 2
direct
0.000 0.000 0.000 Sr
0.500 0.500 0.500 Ca
0.245 0.245 0.540 Be
0.755 0.755 0.460 Be

=====

--- two ---
SrCaBe2, relaxed, DFT GGA-PBE; DOS(E_F) = 2.51 states/eV/f.u.
1.0
0.000 3.641 3.641
3.641 0.000 3.641
3.641 3.641 0.000
Sr Ca Be
1 1 2
direct
0.000 0.000 0.000 Sr
0.500 0.500 0.500 Ca
0.250 0.250 0.250 Be
0.750 0.750 0.750 Be

=====

Preferred: one; penalty for the next structure: 0.163 eV/atom.

=====

--- one ---
CaTaBe2, relaxed, DFT GGA-PBE; DOS(E_F) = 3.57 states/eV/f.u.
1.0
4.244 -1.453 0.000
4.244 1.453 0.000
-1.048 0.000 5.927
Ca Ta Be
1 1 2
direct
0.000 0.000 0.000 Ca
0.500 0.500 0.500 Ta
0.246 0.246 0.649 Be
0.754 0.754 0.351 Be

=====

--- two ---
CaTaBe2, relaxed, DFT GGA-PBE; DOS(E_F) = 2.88 states/eV/f.u.
1.0
0.000 3.183 3.183
3.183 0.000 3.183
3.183 3.183 0.000
Ca Ta Be
1 1 2
direct
0.000 0.000 0.000 Ca
0.500 0.500 0.500 Ta
0.250 0.250 0.250 Be
0.750 0.750 0.750 Be

=====

Preferred: one; penalty for the next structure: 0.013 eV/atom.

=====

--- one ---
CaTaBe2, relaxed, DFT GGA-PBE; DOS(E_F) = 3.54 states/eV/f.u.
1.0
-1.575 2.000 5.536
1.575 -2.000 5.536
1.575 2.000 -5.536
Ca Ta Be
1 1 2
direct
0.000 0.000 0.000 Ca
0.266 0.766 0.500 Ta
0.629 0.629 0.000 Be
0.756 0.256 0.500 Be

=====

--- two ---
CaTaBe2, relaxed, DFT GGA-PBE; DOS(E_F) = 4.03 states/eV/f.u.
1.0
-1.878 1.878 4.655
1.878 -1.878 4.655
1.878 1.878 -4.655
Ca Ta Be
1 1 2
direct
0.000 0.000 0.000 Ca
0.250 0.750 0.500 Ta
0.500 0.500 0.000 Be
0.750 0.250 0.500 Be

=====

--- three ---
CaTaBe2, relaxed, DFT GGA-PBE; DOS(E_F) = 2.84 states/eV/f.u.
1.0
1.563 0.902 8.238
-1.563 0.902 8.238
0.000 -1.804 8.238
Ca Ta Be
1 1 2
direct
0.000 0.000 0.000 Ca
0.500 0.500 0.500 Ta
0.240 0.240 0.240 Be
0.760 0.760 0.760 Be

=====

Preferred: one; penalty for the next structure: 0.253 eV/atom.

=====

--- one ---
CaTaBe2, relaxed, DFT GGA-PBE; DOS(E_F) = 2.74 states/eV/f.u.
1.0
2.961 0.000 0.000
0.000 3.526 0.000
-0.008 0.000 6.377
Ca Ta Be
1 1 2
direct
0.000 0.000 0.000 Ca
0.000 0.000 0.500 Ta
0.500 0.500 0.322 Be
0.500 0.500 0.678 Be

=====

--- two ---
CaTaBe2, relaxed, DFT GGA-PBE; DOS(E_F) = 2.29 states/eV/f.u.
1.0
2.867 0.000 0.000
0.000 2.867 0.000
0.000 0.000 7.711
Ca Ta Be
1 1 2
direct
0.000 0.000 0.000 Ca
0.500 0.500 0.359 Ta
0.000 0.000 0.580 Be
0.500 0.500 0.708 Be

=====

--- three ---
CaTaBe2, relaxed, DFT GGA-PBE; DOS(E_F) = 3.16 states/eV/f.u.
1.0
2.986 0.000 0.000
0.000 4.170 0.000
0.000 0.000 5.432
Ca Ta Be
1 1 2
direct
0.000 0.000 0.000 Ca
0.500 0.500 0.382 Ta
0.000 0.000 0.501 Be
0.500 0.500 0.821 Be

=====

--- four ---
CaTaBe2, relaxed, DFT GGA-PBE; DOS(E_F) = 3.69 states/eV/f.u.
1.0
-3.468 3.468 3.106
3.468 -3.468 3.106
3.468 3.468 -3.106
Ca Ta Be
2 2 4
direct
0.000 0.000 0.000 Ca
0.750 0.250 0.500 Ca
0.250 0.750 0.500 Ta
0.500 0.500 0.000 Ta
0.162 0.625 0.037 Be
0.375 0.412 0.537 Be
0.588 0.125 0.963 Be
0.875 0.838 0.463 Be

=====

Preferred: one; penalty for the next structure: 0.146 eV/atom.

=====

--- one ---
CaTaBe2, relaxed, DFT GGA-PBE; DOS(E_F) = 1.55 states/eV/f.u.
1.0
4.727 0.000 0.000
0.000 4.727 0.000
0.000 0.000 2.807
Ca Ta Be
1 1 2
direct
0.000 0.000 0.000 Ca
0.500 0.500 0.000 Ta
0.000 0.500 0.500 Be
0.500 0.000 0.500 Be

=====

--- two ---
CaTaBe2, relaxed, DFT GGA-PBE; DOS(E_F) = 1.91 states/eV/f.u.
1.0
5.053 -1.348 0.000
5.053 1.348 0.000
-1.631 0.000 4.692
Ca Ta Be
1 1 2
direct
0.000 0.000 0.000 Ca
0.803 0.803 0.373 Ta
0.230 0.230 0.785 Be
0.547 0.547 0.518 Be

=====

Preferred: one; penalty for the next structure: 0.117 eV/atom.

=====

--- one ---
CaTaBe, relaxed, DFT GGA-PBE; DOS(E_F) = 3.35 states/eV/f.u.
1.0
-1.496 1.496 6.320
1.496 -1.496 6.320
1.496 1.496 -6.320
Ca Ta Be
1 1 1
direct
0.000 0.000 0.000 Ca
0.287 0.287 0.000 Ta
0.672 0.672 0.000 Be

=====

--- two ---
CaTaBe, relaxed, DFT GGA-PBE; DOS(E_F) = 3.70 states/eV/f.u.
1.0
3.146 0.000 0.000
-1.573 2.724 0.000
0.000 0.000 6.842
Ca Ta Be
1 1 1
direct
0.000 0.000 0.000 Ca
0.667 0.333 0.402 Ta
0.333 0.667 0.663 Be

=====

--- three ---
CaTaBe, relaxed, DFT GGA-PBE; DOS(E_F) = 4.07 states/eV/f.u.
1.0
0.000 3.144 3.144
3.144 0.000 3.144
3.144 3.144 0.000
Ca Ta Be
1 1 1
direct
0.000 0.000 0.000 Ca
0.500 0.500 0.500 Ta
0.250 0.250 0.250 Be

=====

Preferred: one; penalty for the next structure: 0.287 eV/atom.